1.
Rb3Pm3VSe8 after structural relaxation. Source: the Alexandria database, functional PBE-GGA.

Lattice parameters (Å, degrees): 8.3579 8.3582 9.5154 116.06 90.00 120.00
Each line ends with the local moment (μB).
Sites, in units of the cell vectors:
1 Se 0.7903 0.5806 0.3174  -0.04
2 Se 0.7342 0.4684 0.7025  -0.01
3 Se 0.7903 0.0270 0.3174  -0.04
4 Se 0.7633 0.9730 0.6826  -0.04
5 Se 0.2097 0.9730 0.6826  -0.04
6 Se 0.2367 0.0270 0.3174  -0.04
7 Se 0.2097 0.4194 0.6826  -0.04
8 Se 0.2658 0.5316 0.2975  -0.01
9 Pm 0.5000 0.5000 0.5000  0.00
10 Pm 0.0000 0.5000 0.5000  0.00
11 Pm 0.5000 0.0000 0.5000  0.01
12 Rb 0.0000 0.0000 0.0000  0.00
13 Rb 0.5000 0.5000 0.0000  0.00
14 Rb 0.0000 0.5000 0.0000  0.00
15 V 0.0000 0.0000 0.5000  1.23

Calculated values
raw total energy = -5.049 eV per atom
symmetry = R-3m
E_form (uncorrected) = -1.44 eV per atom

=====

2.
AcCe5Te6 after structural relaxation. Source: the Alexandria database, functional PBE-GGA.

Lattice parameters (Å, degrees): 7.8575 7.8368 7.8677 60.13 80.39 70.42
Each line ends with the local moment (μB).
Sites, in units of the cell vectors:
1 Ce 0.5000 0.8375 0.3250  0.97
2 Ce 0.0000 0.6673 0.6655  0.98
3 Ce 0.5000 0.1625 0.6750  0.97
4 Ce 0.5000 0.5000 0.0000  0.97
5 Ce 0.0000 0.3327 0.3345  0.98
6 Te 0.2565 0.9141 0.6582  -0.02
7 Te 0.7435 0.0859 0.3418  -0.02
8 Te 0.2565 0.5723 0.3418  -0.02
9 Te 0.7435 0.4277 0.6582  -0.02
10 Te 0.2523 0.2585 0.0000  -0.02
11 Te 0.7477 0.7415 0.0000  -0.02
12 Ac 0.0000 0.0000 0.0000  0.01

Calculated values
raw total energy = -5.763 eV per atom
symmetry = C2/m
E_form (uncorrected) = -1.38 eV per atom

=====

3.
Tb2DyYTm5 after structural relaxation. Source: the Alexandria database, functional PBE-GGA.

Lattice parameters (Å, degrees): 8.7025 8.7025 9.6580 116.78 116.78 90.00
Sites, in units of the cell vectors:
1 Tm 0.6579 0.1579 0.7295
2 Tm 0.0716 0.5716 0.7295
3 Tm 0.9284 0.4284 0.2705
4 Tm 0.0000 0.0000 0.0000
5 Tm 0.4284 0.3421 0.2705
6 Tm 0.5716 0.6579 0.7295
7 Tm 0.3421 0.8421 0.2705
8 Tm 0.1579 0.0716 0.7295
9 Tm 0.5000 0.5000 0.0000
10 Tm 0.8421 0.9284 0.2705
11 Tb 0.1150 0.3850 0.0000
12 Tb 0.6150 0.1150 0.0000
13 Tb 0.3850 0.8850 0.0000
14 Tb 0.8850 0.6150 0.0000
15 Y 0.7500 0.7500 0.5000
16 Y 0.2500 0.2500 0.5000
17 Dy 0.7500 0.2500 0.5000
18 Dy 0.2500 0.7500 0.5000

Calculated values
raw total energy = -4.451 eV per atom
symmetry = I4/mcm
ΔH_f (0 K) = 292 meV per atom

=====

4.
Li2Cd5Ag after structural relaxation. Source: the Alexandria database, functional PBE-GGA.

Lattice parameters (Å, degrees): 4.3905 6.0923 11.8968 90.00 90.00 90.00
Sites, in units of the cell vectors:
1 Cd 0.5000 0.2390 0.3802
2 Cd 0.0000 0.9904 0.2533
3 Cd 0.5000 0.7610 0.6198
4 Cd 0.5000 0.7390 0.1198
5 Cd 0.0000 0.5096 0.7533
6 Cd 0.0000 0.0000 0.0000
7 Cd 0.5000 0.2610 0.8802
8 Cd 0.0000 0.4904 0.2467
9 Cd 0.0000 0.0096 0.7467
10 Cd 0.0000 0.5000 0.5000
11 Li 0.5000 0.2471 0.1251
12 Li 0.5000 0.7529 0.8749
13 Li 0.5000 0.7471 0.3749
14 Li 0.5000 0.2529 0.6251
15 Ag 0.0000 0.0000 0.5000
16 Ag 0.0000 0.5000 0.0000

Calculated values
polymorph energy (0 for the lowest one) = 0 meV/atom
raw total energy = -1.565 eV per atom
symmetry = Pbam
ΔH_f (0 K) = -159 meV per atom

=====

5.
InAg2Ru after structural relaxation. Source: the Alexandria database, functional PBE-GGA.

Lattice parameters (Å, degrees): 2.8926 2.8926 8.7114 90.00 90.00 90.00
Each line ends with the local moment (μB).
Sites, in units of the cell vectors:
1 In 0.5000 0.5000 0.2500  0.00
2 Ru 0.5000 0.5000 0.7500  1.56
3 Ag 0.0000 0.0000 0.5171  0.02
4 Ag 0.0000 0.0000 0.9829  0.02

Calculated values
raw total energy = -4.012 eV per atom
symmetry = P4/mmm
ΔH_f (0 K) = 417 meV per atom

=====

6.
LiZn2Ag after structural relaxation. Source: the Alexandria database, functional PBE-GGA.

Lattice parameters (Å, degrees): 7.2742 7.2742 5.7621 50.86 50.86 90.00
Sites, in units of the cell vectors:
1 Zn 0.1236 0.6250 0.2500
2 Zn 0.3750 0.3736 0.7500
3 Zn 0.6264 0.1250 0.2500
4 Zn 0.8750 0.8764 0.7500
5 Ag 0.7500 0.2500 0.5000
6 Ag 0.0000 0.0000 0.0000
7 Li 0.2500 0.7500 0.5000
8 Li 0.5000 0.5000 0.0000

Calculated values
raw total energy = -1.763 eV per atom
symmetry = I-42d
ΔH_f (0 K) = 65 meV per atom

=====

7.
Ti5MnZn4 after structural relaxation. Source: the Alexandria database, functional PBE-GGA.

Lattice parameters (Å, degrees): 3.0754 3.0754 15.9301 90.00 90.00 90.00
Sites, in units of the cell vectors:
1 Zn 0.0000 0.0000 0.3979
2 Zn 0.0000 0.0000 0.1922
3 Zn 0.0000 0.0000 0.8078
4 Zn 0.0000 0.0000 0.6021
5 Mn 0.0000 0.0000 0.0000
6 Ti 0.5000 0.5000 0.5000
7 Ti 0.5000 0.5000 0.2947
8 Ti 0.5000 0.5000 0.7053
9 Ti 0.5000 0.5000 0.9120
10 Ti 0.5000 0.5000 0.0880

Calculated values
raw total energy = -5.592 eV per atom
symmetry = P4/mmm
ΔH_f (0 K) = -218 meV per atom

=====

8.
HoEr2Ga2 after structural relaxation. Source: the Alexandria database, functional PBE-GGA.

Lattice parameters (Å, degrees): 3.6163 5.8229 6.4822 101.99 106.20 90.00
Sites, in units of the cell vectors:
1 Er 0.6368 0.5713 0.2735
2 Er 0.3632 0.4287 0.7265
3 Ho 0.0000 0.0000 0.0000
4 Ga 0.2982 0.8846 0.5964
5 Ga 0.7018 0.1154 0.4036

Calculated values
polymorph energy (0 for the lowest one) = 140 meV/atom
raw total energy = -4.327 eV per atom
symmetry = C2/m
ΔH_f (0 K) = -376 meV per atom

=====

9.
DyY2Sc4 after structural relaxation. Source: the Alexandria database, functional PBE-GGA.

Lattice parameters (Å, degrees): 5.2280 3.6203 10.7182 99.72 90.00 90.00
Sites, in units of the cell vectors:
1 Sc 0.0000 0.1817 0.3635
2 Sc 0.0000 0.8183 0.6365
3 Sc 0.5000 0.6980 0.3960
4 Sc 0.5000 0.3020 0.6040
5 Y 0.5000 0.0741 0.1483
6 Y 0.5000 0.9259 0.8517
7 Dy 0.0000 0.5000 0.0000

Calculated values
polymorph energy (0 for the lowest one) = 74 meV/atom
raw total energy = -5.942 eV per atom
symmetry = Cmmm
ΔH_f (0 K) = 180 meV per atom

=====

10.
BaLa2W after structural relaxation. Source: the Alexandria database, functional PBE-GGA.

Lattice parameters (Å, degrees): 5.5041 5.5041 5.5041 60.00 60.00 60.00
Sites, in units of the cell vectors:
1 La 0.2500 0.2500 0.2500
2 La 0.7500 0.7500 0.7500
3 W 0.5000 0.5000 0.5000
4 Ba 0.0000 0.0000 0.0000

Calculated values
polymorph energy (0 for the lowest one) = 302 meV/atom
raw total energy = -5.396 eV per atom
symmetry = Fm-3m
ΔH_f (0 K) = 786 meV per atom

=====

11.
HfMgNb3 after structural relaxation. Source: the Alexandria database, functional PBE-GGA.

Lattice parameters (Å, degrees): 4.7803 4.7803 4.7803 90.00 90.00 90.00
Sites, in units of the cell vectors:
1 Mg 0.0000 0.0000 0.0000
2 Nb 0.0000 0.0000 0.5000
3 Nb 0.0000 0.5000 0.0000
4 Nb 0.5000 0.0000 0.0000
5 Hf 0.5000 0.5000 0.5000

Calculated values
polymorph energy (0 for the lowest one) = 60 meV/atom
raw total energy = -6.847 eV per atom
symmetry = Pm-3m
ΔH_f (0 K) = 1504 meV per atom

=====

12.
TaCo2C2 after structural relaxation. Source: the Alexandria database, functional PBE-GGA.

Lattice parameters (Å, degrees): 6.0400 6.0400 2.7565 90.00 90.00 90.00
Each line ends with the local moment (μB).
Sites, in units of the cell vectors:
1 Ta 0.0000 0.0000 0.0000  0.00
2 Ta 0.5000 0.5000 0.0000  -0.01
3 C 0.3187 0.8187 0.0000  0.01
4 C 0.6813 0.1813 0.0000  0.01
5 C 0.8187 0.6813 0.0000  0.02
6 C 0.1813 0.3187 0.0000  0.02
7 Co 0.1467 0.6467 0.5000  0.55
8 Co 0.8533 0.3533 0.5000  0.55
9 Co 0.6467 0.8533 0.5000  0.58
10 Co 0.3533 0.1467 0.5000  0.58

Calculated values
polymorph energy (0 for the lowest one) = 425 meV/atom
raw total energy = -8.316 eV per atom
symmetry = P4/mbm
ΔH_f (0 K) = 586 meV per atom

=====

13.
Tb2GdNp after structural relaxation. Source: the Alexandria database, functional PBE-GGA.

Lattice parameters (Å, degrees): 3.4683 3.4683 11.7320 81.50 81.50 60.00
Each line ends with the local moment (μB).
Sites, in units of the cell vectors:
1 Tb 0.2525 0.2525 0.2424  -0.01
2 Tb 0.7475 0.7475 0.7576  -0.01
3 Np 0.0000 0.0000 0.0000  -4.03
4 Gd 0.5000 0.5000 0.5000  7.21

Calculated values
raw total energy = -8.768 eV per atom
symmetry = R-3m
ΔH_f (0 K) = 303 meV per atom

=====

14.
La2Pd3Au4 after structural relaxation. Source: the Alexandria database, functional PBE-GGA.

Lattice parameters (Å, degrees): 5.5063 5.4788 7.5597 79.45 68.64 59.83
Sites, in units of the cell vectors:
1 La 0.3700 0.0000 0.2600
2 La 0.6300 0.0000 0.7400
3 Au 0.3310 0.6795 0.6585
4 Au 0.0105 0.3205 0.6585
5 Au 0.6690 0.3205 0.3415
6 Au 0.9895 0.6795 0.3415
7 Pd 0.0000 0.5000 0.0000
8 Pd 0.5000 0.5000 0.0000
9 Pd 0.0000 0.0000 0.0000

Calculated values
raw total energy = -5.018 eV per atom
symmetry = Fmmm
ΔH_f (0 K) = -736 meV per atom

=====

15.
Ta2SnBiRu after structural relaxation. Source: the Alexandria database, functional PBE-GGA.

Lattice parameters (Å, degrees): 5.1218 4.8648 5.1218 90.00 90.00 90.00
Sites, in units of the cell vectors:
1 Ru 0.0000 0.5000 0.0000
2 Sn 0.0000 0.0000 0.0000
3 Ta 0.0000 0.0000 0.5000
4 Ta 0.5000 0.0000 0.0000
5 Bi 0.5000 0.5000 0.5000

Calculated values
raw total energy = -6.468 eV per atom
symmetry = P4/mmm
ΔH_f (0 K) = 1705 meV per atom

=====

16.
Th4B3PRh12 after structural relaxation. Source: the Alexandria database, functional PBE-GGA.

Lattice parameters (Å, degrees): 7.5140 7.5140 7.5140 109.47 109.47 109.47
Sites, in units of the cell vectors:
1 P 0.0000 0.0000 0.0000
2 Rh 0.2500 0.5000 0.7500
3 Rh 0.7500 0.2500 0.5000
4 Rh 0.7500 0.5000 0.2500
5 Rh 0.0000 0.7364 0.7364
6 Rh 0.7364 0.0000 0.7364
7 Rh 0.7364 0.7364 0.0000
8 Rh 0.2636 0.2636 0.0000
9 Rh 0.2500 0.7500 0.5000
10 Rh 0.5000 0.7500 0.2500
11 Rh 0.2636 0.0000 0.2636
12 Rh 0.5000 0.2500 0.7500
13 Rh 0.0000 0.2636 0.2636
14 B 0.5000 0.0000 0.5000
15 B 0.5000 0.5000 0.0000
16 B 0.0000 0.5000 0.5000
17 Th 0.5000 0.0000 0.0000
18 Th 0.5000 0.5000 0.5000
19 Th 0.0000 0.5000 0.0000
20 Th 0.0000 0.0000 0.5000

Calculated values
raw total energy = -7.996 eV per atom
symmetry = Im-3m
ΔH_f (0 K) = -829 meV per atom

=====

17.
AcAgClO2 after structural relaxation. Source: the Alexandria database, functional PBE-GGA.

Lattice parameters (Å, degrees): 5.8433 5.8490 6.9002 115.08 90.00 90.00
Sites, in units of the cell vectors:
1 Ag 0.7500 0.0293 0.0586
2 Ag 0.2500 0.9707 0.9414
3 O 0.0000 0.2697 0.0000
4 O 0.0000 0.7303 0.0000
5 O 0.5000 0.2697 0.0000
6 O 0.5000 0.7303 0.0000
7 Cl 0.7500 0.7530 0.5060
8 Cl 0.2500 0.2470 0.4940
9 Ac 0.7500 0.3846 0.7693
10 Ac 0.2500 0.6154 0.2307

Calculated values
raw total energy = -5.527 eV per atom
symmetry = Cmcm
E_form (uncorrected) = -1.78 eV per atom

=====

18.
La2H3O after structural relaxation. Source: the Alexandria database, functional PBE-GGA.

Lattice parameters (Å, degrees): 5.6685 5.6685 5.6685 90.00 90.00 90.00
Sites, in units of the cell vectors:
1 H 0.2500 0.7499 0.7500
2 H 0.2500 0.2500 0.2501
3 H 0.7499 0.2500 0.7500
4 H 0.7500 0.7500 0.7499
5 H 0.2501 0.7500 0.2500
6 H 0.7500 0.2501 0.2500
7 La 0.0000 0.5000 0.5000
8 La 0.5000 0.5000 0.0000
9 La 0.0000 0.0000 0.0000
10 La 0.5000 0.0000 0.5000
11 O 0.7500 0.7500 0.2500
12 O 0.2500 0.2500 0.7500

Calculated values
raw total energy = -5.533 eV per atom
symmetry = Pn-3m

=====

19.
BaPt4Au after structural relaxation. Source: the Alexandria database, functional PBE-GGA.

Lattice parameters (Å, degrees): 5.5205 5.5205 5.5205 60.00 60.00 60.00
Sites, in units of the cell vectors:
1 Au 0.7500 0.7500 0.7500
2 Ba 0.0000 0.0000 0.0000
3 Pt 0.3755 0.8735 0.3755
4 Pt 0.3755 0.3755 0.3755
5 Pt 0.8735 0.3755 0.3755
6 Pt 0.3755 0.3755 0.8735

Calculated values
raw total energy = -5.202 eV per atom
symmetry = F-43m
ΔH_f (0 K) = -308 meV per atom

=====

20.
Tl2Ge2Te after structural relaxation. Source: the Alexandria database, functional PBE-GGA.

Lattice parameters (Å, degrees): 3.8651 3.8651 9.6276 78.42 78.42 90.00
Sites, in units of the cell vectors:
1 Tl 0.3965 0.3965 0.2071
2 Tl 0.6035 0.6035 0.7929
3 Ge 0.7500 0.2500 0.5000
4 Ge 0.2500 0.7500 0.5000
5 Te 0.0000 0.0000 0.0000

Calculated values
polymorph energy (0 for the lowest one) = 0 meV/atom
raw total energy = -3.292 eV per atom
symmetry = I4/mmm
E_form (uncorrected) = 0.13 eV per atom

=====

21.
Zr2TcHgS after structural relaxation. Source: the Alexandria database, functional PBE-GGA.

Lattice parameters (Å, degrees): 4.7636 4.8030 4.7636 90.00 90.00 90.00
Each line ends with the local moment (μB).
Sites, in units of the cell vectors:
1 S 0.0000 0.0000 0.0000  0.00
2 Zr 0.5000 0.0000 0.0000  -0.12
3 Zr 0.0000 0.0000 0.5000  -0.15
4 Hg 0.0000 0.5000 0.0000  -0.03
5 Tc 0.5000 0.5000 0.5000  1.46

Calculated values
raw total energy = -5.985 eV per atom
symmetry = P4/mmm
E_form (uncorrected) = 0.39 eV per atom

=====

22.
CaTc2Hg after structural relaxation. Source: the Alexandria database, functional PBE-GGA.

Lattice parameters (Å, degrees): 5.0797 2.9331 5.2324 85.68 90.00 90.00
Sites, in units of the cell vectors:
1 Tc 0.0000 0.6204 0.4671
2 Tc 0.0000 0.8796 0.0329
3 Ca 0.5000 0.2500 0.2500
4 Hg 0.5000 0.7500 0.7500

Calculated values
raw total energy = -5.212 eV per atom
symmetry = P2/m
ΔH_f (0 K) = 547 meV per atom

=====

23.
BaSrF after structural relaxation. Source: the Alexandria database, functional PBE-GGA.

Lattice parameters (Å, degrees): 7.6948 8.3640 8.8142 60.40 90.00 90.00
Each line ends with the local moment (μB).
Sites, in units of the cell vectors:
1 Ba 0.1714 0.2660 0.6335  0.07
2 Ba 0.6714 0.2340 0.8665  0.07
3 Ba 0.8286 0.7340 0.3665  0.07
4 Ba 0.3286 0.7660 0.1335  0.07
5 F 0.6616 0.8585 0.0558  0.01
6 F 0.1616 0.6415 0.4442  0.01
7 F 0.3384 0.1415 0.9442  0.01
8 F 0.8384 0.3585 0.5558  0.01
9 Sr 0.3076 0.7710 0.6073  0.04
10 Sr 0.1924 0.2710 0.1073  0.04
11 Sr 0.8076 0.7290 0.8927  0.04
12 Sr 0.6924 0.2290 0.3927  0.04

Calculated values
polymorph energy (0 for the lowest one) = 0 meV/atom
raw total energy = -3.669 eV per atom
symmetry = P2_1/c
E_form (uncorrected) = -1.84 eV per atom